Record 1
{"formula": "CrRe2Sb", "functional": "PBE-GGA", "state": "relaxed", "lattice_angstrom": [[-4.6974, 0.5943, 1.1394], [-2.6968, -0.2886, -4.0450], [3.4361, -2.9293, 1.8249]], "species": ["Re", "Cr", "Re", "Sb"], "fractional_positions": [[0.0000, 0.0000, 0.0000], [0.7500, 0.2500, 0.5000], [0.2500, 0.7500, 0.5000], [0.5000, 0.5000, 0.0000]], "e_tot_ev_per_cell": -36.65, "magnetic_moment_mub_per_cell": 2.43, "volume_a3_per_atom": 15.73, "e_form_raw_kj_per_mol_atoms": 48.08}

=====

Record 2
{"formula": "CrRe2Sb", "functional": "PBE-GGA", "state": "relaxed", "lattice_angstrom": [[-4.5606, 2.5403, -0.0367], [-3.5974, -1.4602, -3.4900], [2.9859, -1.6478, 3.9526]], "species": ["Re", "Re", "Sb", "Cr"], "fractional_positions": [[0.9975, 0.9975, 0.0000], [0.5025, 0.5025, 0.0000], [0.7500, 0.2500, 0.5000], [0.2500, 0.7500, 0.5000]], "e_tot_ev_per_cell": -36.66, "magnetic_moment_mub_per_cell": 0.00, "volume_a3_per_atom": 15.45, "e_form_raw_kj_per_mol_atoms": 47.83}

=====

Record 3
{"formula": "CrRe2Sb", "functional": "PBE-GGA", "state": "relaxed", "lattice_angstrom": [[-0.8614, 0.7681, 3.7544], [-3.8146, 0.1966, -0.9155], [-3.2160, -8.7210, 3.1009]], "species": ["Re", "Sb", "Cr", "Sb", "Re", "Re", "Cr", "Re"], "fractional_positions": [[0.3750, 0.4360, 0.7500], [0.0000, 0.0000, 0.0000], [0.2500, 0.7500, 0.5000], [0.7500, 0.2500, 0.5000], [0.1860, 0.6250, 0.2500], [0.5640, 0.1250, 0.2500], [0.5000, 0.5000, 0.0000], [0.8750, 0.8140, 0.7500]], "e_tot_ev_per_cell": -70.78, "magnetic_moment_mub_per_cell": 5.58, "volume_a3_per_atom": 18.12, "e_form_raw_kj_per_mol_atoms": 78.49}

=====

Record 4
{"formula": "CrRe2Sb", "functional": "PBE-GGA", "state": "relaxed", "lattice_angstrom": [[-3.9246, 2.6325, -1.0610], [-4.8017, -0.2220, -0.5932], [-1.4983, 1.1607, 4.2730]], "species": ["Sb", "Re", "Cr", "Re"], "fractional_positions": [[0.5024, 0.5024, 0.4775], [0.9986, 0.9986, 0.9812], [0.2580, 0.2580, 0.2401], [0.7410, 0.7410, 0.8012]], "e_tot_ev_per_cell": -36.70, "magnetic_moment_mub_per_cell": 0.86, "volume_a3_per_atom": 15.91, "e_form_raw_kj_per_mol_atoms": 46.78}

=====

Record 5
{"formula": "CrRe2Sb", "functional": "PBE-GGA", "state": "relaxed", "lattice_angstrom": [[-1.4002, 2.7344, 0.0777], [-2.2658, -1.2082, 1.6883], [3.2963, 1.5310, 5.5194]], "species": ["Sb", "Re", "Re", "Cr"], "fractional_positions": [[0.0000, 0.0000, 0.5146], [0.0000, 0.0000, 0.9873], [0.5000, 0.5000, 0.2308], [0.5000, 0.5000, 0.7673]], "e_tot_ev_per_cell": -37.09, "magnetic_moment_mub_per_cell": 0.00, "volume_a3_per_atom": 15.60, "e_form_raw_kj_per_mol_atoms": 37.32}

=====

Record 6
{"formula": "CrRe2Sb", "functional": "PBE-GGA", "state": "relaxed", "lattice_angstrom": [[8.7439, -0.0254, -0.0149], [8.2614, 2.8643, -0.0149], [8.2614, 1.3792, 2.5104]], "species": ["Re", "Sb", "Re", "Cr"], "fractional_positions": [[0.4921, 0.4921, 0.4921], [0.2500, 0.2500, 0.2500], [0.0079, 0.0079, 0.0079], [0.7500, 0.7500, 0.7500]], "e_tot_ev_per_cell": -36.47, "magnetic_moment_mub_per_cell": 0.00, "volume_a3_per_atom": 15.94, "e_form_raw_kj_per_mol_atoms": 52.29}

=====

Record 7
{"formula": "CrReSb", "functional": "PBE-GGA", "state": "relaxed", "lattice_angstrom": [[4.1970, 0.0000, 0.0000], [2.0985, 3.6347, 0.0000], [2.0985, 1.2116, 3.4269]], "species": ["Cr", "Re", "Sb"], "fractional_positions": [[0.7500, 0.7500, 0.7500], [0.0000, 0.0000, 0.0000], [0.5000, 0.5000, 0.5000]], "e_tot_ev_per_cell": -25.24, "magnetic_moment_mub_per_cell": 0.21, "volume_a3_per_atom": 17.43, "polymorph_energy_mev_per_atom": 0, "e_form_raw_kj_per_mol_atoms": 30.74}

=====

Record 8
{"formula": "CrReSb", "functional": "PBE-GGA", "state": "relaxed", "lattice_angstrom": [[4.3333, 0.0000, 0.0000], [-2.1667, 3.7528, 0.0000], [0.0000, 0.0000, 2.9375]], "species": ["Cr", "Re", "Sb"], "fractional_positions": [[0.0000, 0.0000, 0.8532], [0.3333, 0.6667, 0.3265], [0.6667, 0.3333, 0.8204]], "e_tot_ev_per_cell": -24.29, "magnetic_moment_mub_per_cell": 0.00, "volume_a3_per_atom": 15.92, "polymorph_energy_mev_per_atom": 317, "e_form_raw_kj_per_mol_atoms": 61.35}

=====

Record 9
{"formula": "CrReSb", "functional": "PBE-GGA", "state": "relaxed", "lattice_angstrom": [[3.0411, 0.0000, 0.0000], [-1.5205, 2.6336, 0.0000], [0.0000, 0.0000, 6.3205]], "species": ["Sb", "Cr", "Re"], "fractional_positions": [[0.6667, 0.3333, 0.6767], [0.0000, 0.0000, 0.0294], [0.3333, 0.6667, 0.2939]], "e_tot_ev_per_cell": -24.73, "magnetic_moment_mub_per_cell": 0.00, "volume_a3_per_atom": 16.87, "polymorph_energy_mev_per_atom": 170, "e_form_raw_kj_per_mol_atoms": 47.15}

=====

Record 10
{"formula": "CrRe2Sb", "functional": "PBE-GGA", "state": "relaxed", "lattice_angstrom": [[-4.5070, -0.4065, 1.8445], [-3.2358, -0.7766, -3.5786], [4.2313, -2.1629, 1.1394]], "species": ["Cr", "Re", "Re", "Sb"], "fractional_positions": [[0.7500, 0.2500, 0.5000], [0.0000, 0.0000, 0.0000], [0.5000, 0.5000, 0.0000], [0.2500, 0.7500, 0.5000]], "e_tot_ev_per_cell": -36.67, "magnetic_moment_mub_per_cell": 1.26, "volume_a3_per_atom": 15.62, "e_form_raw_kj_per_mol_atoms": 47.52}

=====

Record 11
{"formula": "CrRe2Sb", "functional": "PBE-GGA", "state": "relaxed", "lattice_angstrom": [[4.4402, 0.0000, 0.0000], [2.2201, 3.8453, 0.0000], [2.2201, 1.2818, 3.6254]], "species": ["Sb", "Re", "Re", "Cr"], "fractional_positions": [[0.7500, 0.7500, 0.7500], [0.0000, 0.0000, 0.0000], [0.2500, 0.2500, 0.2500], [0.5000, 0.5000, 0.5000]], "e_tot_ev_per_cell": -36.41, "magnetic_moment_mub_per_cell": 0.02, "volume_a3_per_atom": 15.47, "e_form_raw_kj_per_mol_atoms": 53.87}

=====

Record 12
{"formula": "CrRe2Sb", "functional": "PBE-GGA", "state": "relaxed", "lattice_angstrom": [[4.0636, 0.0000, 0.0000], [0.0000, 2.9444, -0.0196], [0.0000, 2.1153, 5.3268]], "species": ["Cr", "Re", "Re", "Sb"], "fractional_positions": [[0.5000, 0.7500, 0.7500], [0.0000, 0.9135, 0.9684], [0.0000, 0.5865, 0.5316], [0.5000, 0.2500, 0.2500]], "e_tot_ev_per_cell": -36.45, "magnetic_moment_mub_per_cell": 0.89, "volume_a3_per_atom": 15.98, "e_form_raw_kj_per_mol_atoms": 52.99}